Li2ScTe | PBE-GGA | relaxed

Structure (CIF):
```
data_Li2ScTe
_cell_length_a 4.1957
_cell_length_b 4.1960
_cell_length_c 4.5718
_cell_angle_alpha 90.00
_cell_angle_beta 90.00
_cell_angle_gamma 90.00
_symmetry_space_group_name_H-M 'P 1'
_symmetry_Int_Tables_number 1
loop_
_symmetry_equiv_pos_as_xyz
'x,y,z'
loop_
_atom_site_label
_atom_site_fract_x
_atom_site_fract_y
_atom_site_fract_z
Li1 0.0000 0.0000 0.0000
Li2 0.5000 0.5000 0.0000
Sc1 0.5000 0.0000 0.5000
Te1 0.0000 0.5000 0.5000
```

## Properties
**Formation energy (no corrections)**: -0.547 eV per atom
**Size of the total moment**: 0.00 μB/f.u.
**Final energy**: -15.489 eV for the cell shown